ScPd2Rh2 | PBE | relaxed

Properties
Polymorph energy (0 for the lowest one) in kJ/mol of formula units: 34.1
Calculated total energy in eV for the cell shown: -64.78
Energy of formation in kJ/mol of formula units: -93

a b c (Å): 6.918 6.918 3.455
angles (deg): 90.00 90.00 90.00
Element x y z (fractional)
Sc 0.000 0.000 0.000
Sc 0.500 0.500 0.000
Pd 0.137 0.363 0.000
Pd 0.363 0.863 0.000
Pd 0.637 0.137 0.000
Pd 0.863 0.637 0.000
Rh 0.160 0.660 0.500
Rh 0.340 0.160 0.500
Rh 0.660 0.840 0.500
Rh 0.840 0.340 0.500